DFT (GGA+U) results for an optimized crystal structure of Cs2RbNi2F7.

Geometry as POSCAR:
```
Cs2RbNi2F7
1.0
-2.1036 2.1036 11.5531
2.1036 -2.1036 11.5531
2.1036 2.1036 -11.5531
Cs Rb Ni F
2 1 2 7
direct
0.1841 0.1841 0.0000 Cs
0.8159 0.8159 0.0000 Cs
0.0000 0.0000 0.0000 Rb
0.4114 0.4114 0.0000 Ni
0.5886 0.5886 0.0000 Ni
0.0886 0.5886 0.5000 F
0.3242 0.3242 0.0000 F
0.4114 0.9114 0.5000 F
0.5000 0.5000 0.0000 F
0.5886 0.0886 0.5000 F
0.6758 0.6758 0.0000 F
0.9114 0.4114 0.5000 F
```

Properties
- Density of states at the Fermi level: 0.00 states/eV per cell
- Space group: I4/mmm
- Theoretical density: 4.9 g/cm3
- E: -4.220 eV/atom